Compound: RbUCrO6
Source: Alexandria
Functional: PBE with a Hubbard U
Structure: optimized geometry

Cell: 7.0457 7.8779 7.4803 Å, 121.77 118.10 90.00°
Last column: nearest neighbours and their distance in Å.
Positions (direct):
Rb 0.8804 0.6304 0.7608  8 O 3.17-3.55
Rb 0.1196 0.3696 0.2392  8 O 3.17-3.55
U 0.5000 0.5000 0.0000  6 O 2.04-2.15
U 0.5000 0.0000 0.0000  6 O 2.04-2.15
Cr 0.5000 0.0000 0.5000  6 O 1.81-1.94
Cr 0.0000 0.0000 0.5000  6 O 1.81-1.94
O 0.4191 0.6691 0.8382  2 U 2.15
O 0.7908 0.0408 0.5816  2 Cr 1.81
O 0.8287 0.0511 0.2506  1 Cr 1.94, 1 U 2.04
O 0.4219 0.6995 0.2506  1 Cr 1.94, 1 U 2.04
O 0.4219 0.0511 0.2506  1 Cr 1.94, 1 U 2.04
O 0.8287 0.6995 0.2506  1 Cr 1.94, 1 U 2.04
O 0.5809 0.3309 0.1618  2 U 2.15
O 0.2092 0.9592 0.4184  2 Cr 1.81
O 0.1713 0.9489 0.7494  1 Cr 1.94, 1 U 2.04
O 0.5781 0.3005 0.7494  1 Cr 1.94, 1 U 2.04
O 0.5781 0.9489 0.7494  1 Cr 1.94, 1 U 2.04
O 0.1713 0.3005 0.7494  1 Cr 1.94, 1 U 2.04

Summary:
total energy: -7.663 eV/atom
E above lowest polymorph: 0.155 eV/atom
density of states at the Fermi level: 9.3 states/eV/cell